1.
Y7HoTl4 (PBE-GGA, relaxed); D(E_F) = 1.181 states/eV per atom; ΔH_f (0 K) = -0.0416 eV per atom; energy = -4.983 eV/atom
1.0
-2.449 3.961 -3.343
-2.987 -4.165 -7.662
-7.910 -0.379 0.430
Y Ho Tl
7 1 4
direct
0.792 0.880 0.536
0.208 0.120 0.464
0.064 0.601 0.271
0.936 0.399 0.729
0.268 0.675 0.788
0.500 0.000 0.000
0.732 0.325 0.212
0.000 0.000 0.000
0.557 0.260 0.626
0.443 0.740 0.374
0.685 0.665 0.965
0.315 0.335 0.035

2.
KHf3Mn (PBE-GGA, relaxed); D(E_F) = 1.840 states/eV per atom; ΔH_f (0 K) = 0.6971 eV per atom; energy = -7.328 eV/atom; excess energy over the best structure of this formula in the dataset = 0.0 kJ per mole of atoms
1.0
-0.104 -4.981 0.197
4.502 -0.178 -2.137
2.142 0.133 4.501
K Mn Hf
1 1 3
direct
0.500 0.500 0.500
0.000 0.000 0.000
0.000 0.500 0.000
0.000 0.000 0.500
0.500 0.000 0.000

> What is the D(E_F) in the first record?

1.181 states/eV per atom

> The highest D(E_F) belongs to which entry?

KHf3Mn

> Which value of ΔH_f (0 K) does entry 2 give?

0.6971 eV per atom

> Which of these has the highest ΔH_f (0 K)?

KHf3Mn